1.
RbCe2Sm3Te6 | Alexandria | GGA-PBE | optimized geometry; symmetry = C2/m; formation energy from raw total energies = -1337 meV per atom
1.0
9.9611 -2.2348 0.0000
9.9611 2.2348 0.0000
-2.2815 0.0000 9.0051
Rb Ce Sm Te
1 2 3 6
Cartesian
0.0000 0.0000 0.0000
5.0699 0.0000 5.9369
12.5709 0.0000 3.0682
-1.1407 0.0000 4.5025
6.3273 0.0000 1.5937
11.3134 0.0000 7.4114
1.9419 0.0000 5.2672
3.2964 0.0000 0.7466
8.2512 0.0000 6.5758
9.3896 0.0000 2.4293
14.3444 0.0000 8.2585
15.6989 0.0000 3.7379



2.
Rb2CeSmTe4 | Alexandria | GGA-PBE | optimized geometry; symmetry = P2/m; formation energy from raw total energies = -1369 meV per atom
1.0
8.0547 0.0000 0.0000
0.0000 4.6522 0.0000
-2.6826 0.0000 8.5472
Rb Ce Sm Te
2 1 1 4
Cartesian
0.0000 0.0000 0.0000
4.0274 2.3261 0.0000
-1.3413 2.3261 4.2736
2.6861 0.0000 4.2736
0.0289 0.0000 6.0171
1.3711 2.3261 2.5386
4.0011 2.3261 6.0086
5.3432 0.0000 2.5301



3.
Rb4CeSm3Te8 | Alexandria | GGA-PBE | optimized geometry; symmetry = R-3m; formation energy from raw total energies = -1384 meV per atom
1.0
4.6290 2.6726 8.5626
-4.6290 2.6726 8.5626
0.0000 -5.3451 8.5626
Rb Ce Sm Te
4 1 3 8
Cartesian
0.0000 0.0000 0.0000
-2.3145 -1.3363 8.5626
-2.3145 1.3363 17.1252
0.0000 2.6726 8.5626
0.0000 0.0000 12.8439
-4.6290 0.0000 12.8439
-2.3145 1.3363 4.2813
2.3145 1.3363 4.2813
-2.3400 -1.3510 14.5849
0.0000 0.0000 6.0144
0.0000 -2.7020 11.1029
-2.3400 1.3510 11.1029
2.3400 -1.3510 14.5849
0.0000 2.7020 14.5849
0.0000 0.0000 19.6734
2.3400 1.3510 11.1029



4.
RbCeSn | Alexandria | GGA-PBE | optimized geometry; symmetry = Fmmm
1.0
0.0000 4.2829 8.3358
3.5795 0.0000 8.3358
3.5795 4.2829 0.0000
Rb Ce Sn
2 2 2
Cartesian
3.5795 1.7079 8.3358
3.5795 6.8579 8.3358
1.7897 2.1414 4.1679
5.3692 6.4243 12.5038
3.5795 4.2829 5.7754
3.5795 4.2829 10.8962



5.
Rb3Ce3SnTe8 | Alexandria | GGA-PBE | optimized geometry; symmetry = R-3m; formation energy from raw total energies = -1123 meV per atom
1.0
4.6092 2.6611 8.5489
-4.6092 2.6611 8.5489
0.0000 -5.3222 8.5489
Rb Ce Sn Te
3 3 1 8
Cartesian
-2.3046 -1.3306 8.5489
-2.3046 1.3306 17.0978
0.0000 2.6611 8.5489
-4.6092 0.0000 12.8233
-2.3046 1.3306 4.2744
2.3046 1.3306 4.2744
0.0000 0.0000 12.8233
-2.3665 -1.3663 14.4986
0.0000 0.0000 6.0053
0.0000 -2.7326 11.1481
-2.3665 1.3663 11.1481
2.3665 -1.3663 14.4986
0.0000 2.7326 14.4986
0.0000 0.0000 19.6413
2.3665 1.3663 11.1481



6.
Rb3Ce2SnTe6 | Alexandria | GGA-PBE | optimized geometry; symmetry = C2/m; formation energy from raw total energies = -1120 meV per atom
1.0
4.0552 -7.0219 0.0000
4.0552 7.0219 0.0000
-2.7002 0.0000 8.4422
Rb Ce Sn Te
3 2 1 6
Cartesian
0.0000 0.0000 0.0000
4.0552 2.2970 0.0000
4.0552 -2.2970 0.0000
2.7051 4.6764 4.2211
2.7051 -4.6764 4.2211
2.7051 0.0000 4.2211
1.3222 2.3918 2.5300
-0.0577 0.0000 5.9040
1.3222 -2.3918 2.5300
4.0880 2.3918 5.9122
5.4679 0.0000 2.5382
4.0880 -2.3918 5.9122



7.
Rb2CeSnTe4 | Alexandria | GGA-PBE | optimized geometry; symmetry = P2/m; formation energy from raw total energies = -977 meV per atom
1.0
8.1208 0.0000 0.0000
0.0000 4.6495 0.0000
-2.6097 0.0000 8.4232
Rb Ce Sn Te
2 1 1 4
Cartesian
0.0000 0.0000 0.0000
4.0604 2.3248 0.0000
-1.3048 2.3248 4.2116
2.7556 0.0000 4.2116
0.0173 0.0000 5.8731
1.2873 2.3248 2.5449
4.2238 2.3248 5.8782
5.4938 0.0000 2.5501



8.
Rb3SrCe2Te6 | Alexandria | GGA-PBE | optimized geometry; symmetry = C2/m; formation energy from raw total energies = -1363 meV per atom
1.0
4.0852 -7.0756 0.0000
4.0852 7.0756 0.0000
-2.7293 0.0000 8.5103
Rb Sr Ce Te
3 1 2 6
Cartesian
0.0000 0.0000 0.0000
4.0852 2.2889 0.0000
4.0852 -2.2889 0.0000
2.7205 0.0000 4.2551
2.7205 4.7091 4.2551
2.7205 -4.7091 4.2551
1.2845 2.4842 2.5169
-0.1467 0.0000 5.9805
1.2845 -2.4842 2.5169
4.1565 2.4842 5.9934
5.5877 0.0000 2.5297
4.1565 -2.4842 5.9934



9.
RbTb2Ce | Alexandria | GGA-PBE | optimized geometry; symmetry = R-3m
1.0
2.1449 1.2383 10.8107
-2.1449 1.2383 10.8107
0.0000 -2.4767 10.8107
Rb Tb Ce
1 2 1
Cartesian
0.0000 0.0000 0.0000
0.0000 0.0000 3.8552
0.0000 0.0000 28.5770
0.0000 0.0000 16.2161



10.
Rb3TbCe2Te6 | Alexandria | GGA-PBE | optimized geometry; symmetry = C2/m; formation energy from raw total energies = -1354 meV per atom
1.0
4.0232 -6.9697 0.0000
4.0232 6.9697 0.0000
-2.6823 0.0000 8.5348
Rb Tb Ce Te
3 1 2 6
Cartesian
0.0000 0.0000 0.0000
4.0232 2.3424 0.0000
4.0232 -2.3424 0.0000
2.6820 0.0000 4.2674
2.6820 4.6488 4.2674
2.6820 -4.6488 4.2674
1.3699 2.2738 2.5388
0.0584 0.0000 5.9997
1.3699 -2.2738 2.5388
3.9942 2.2738 5.9960
5.3056 0.0000 2.5351
3.9942 -2.2738 5.9960



11.
Rb4TbCe3Te8 | Alexandria | GGA-PBE | optimized geometry; symmetry = C2/m; formation energy from raw total energies = -1124 meV per atom
1.0
8.4859 -4.5191 0.0000
8.4859 4.5191 0.0000
-0.2081 0.0000 8.4514
Rb Tb Ce Te
4 1 3 8
Cartesian
0.0000 0.0000 0.0000
4.1389 2.2596 4.2257
4.1389 -2.2596 4.2257
8.4859 0.0000 0.0000
-0.1041 0.0000 4.2257
4.2429 2.2596 0.0000
4.2429 -2.2596 0.0000
8.3818 0.0000 4.2257
2.7141 0.0000 6.6213
7.0764 2.3087 5.9683
9.6872 2.3087 2.4831
5.5580 0.0000 1.8142
11.2056 0.0000 6.6372
7.0764 -2.3087 5.9683
9.6872 -2.3087 2.4831
14.0495 0.0000 1.8301



12.
Rb4Tb3CeTe8 | Alexandria | GGA-PBE | optimized geometry; symmetry = R-3m; formation energy from raw total energies = -1373 meV per atom
1.0
4.5831 2.6460 8.5543
-4.5831 2.6460 8.5543
0.0000 -5.2921 8.5543
Rb Tb Ce Te
4 3 1 8
Cartesian
0.0000 0.0000 0.0000
-2.2915 -1.3230 8.5543
-2.2915 1.3230 17.1085
0.0000 2.6460 8.5542
-4.5831 0.0000 12.8314
-2.2915 1.3230 4.2771
2.2915 1.3230 4.2771
0.0000 0.0000 12.8314
-2.3403 -1.3512 14.5545
0.0000 0.0000 5.9799
0.0000 -2.7023 11.1083
-2.3403 1.3512 11.1083
2.3403 -1.3512 14.5545
0.0000 2.7023 14.5545
0.0000 0.0000 19.6829
2.3403 1.3512 11.1083



| no. | DFT total energy (eV/atom) |
| --- | --- |
| 1 | -5.158 |
| 2 | -4.514 |
| 3 | -4.452 |
| 4 | -3.708 |
| 5 | -4.446 |
| 6 | -4.256 |
| 7 | -4.032 |
| 8 | -4.305 |
| 9 | -3.192 |
| 10 | -4.541 |
| 11 | -4.339 |
| 12 | -4.425 |